CsBaLaBe2 after structural relaxation, computed with PBE.

DFT formation energy in eV per formula unit: 7.4

Cell: 5.656 5.656 5.802 Å, 90.00 90.00 90.00°
Space group P4/mmm (No. 123)
Asymmetric unit:
Cs 0.000 0.000 0.000 x1
Ba 0.500 0.500 0.500 x1
La 0.000 0.000 0.500 x1
Be 0.000 0.500 0.000 x2